# 1
Pm2SmZn2Si2: optimized geometry, PBE.

```
data_Pm2SmZn2Si2
_chemical_formula_sum 'Pm6 Sm3 Zn6 Si6'
_cell_length_a 4.1144
_cell_length_b 4.1144
_cell_length_c 34.4422
_cell_angle_alpha 90.00
_cell_angle_beta 90.00
_cell_angle_gamma 120.00
_symmetry_space_group_name_H-M 'R -3 m'
_symmetry_Int_Tables_number 166
_symmetry_space_group_name_Hall '-R 3 2"'
loop_
_atom_site_label
_atom_site_fract_x
_atom_site_fract_y
_atom_site_fract_z
_atom_site_occupancy
Pm1 0.0000 0.0000 0.1211 1
Sm1 0.0000 0.0000 0.0000 1
Zn1 0.0000 0.0000 0.3940 1
Si1 0.0000 0.0000 0.2721 1
```

**E**: -31.0 eV/f.u.
**V**: 24.04 Å³ per atom
**Density of states at the Fermi level**: 20.28 states/eV per cell
**Size of the total moment**: 1.8 μB/cell
**Energy relative to the elements, uncorrected**: -0.48 eV/atom



# 2
PmSmZnSi: optimized geometry, PBE.

```
data_PmSmZnSi
_chemical_formula_sum 'Pm4 Sm4 Zn4 Si4'
_cell_length_a 7.214
_cell_length_b 7.214
_cell_length_c 7.214
_cell_angle_alpha 90.00
_cell_angle_beta 90.00
_cell_angle_gamma 90.00
_symmetry_space_group_name_H-M 'F -4 3 m'
_symmetry_Int_Tables_number 216
_symmetry_space_group_name_Hall 'F -4 2 3'
loop_
_atom_site_label
_atom_site_fract_x
_atom_site_fract_y
_atom_site_fract_z
_atom_site_occupancy
Pm1 0.000 0.000 0.000 1
Sm1 0.000 0.000 0.500 1
Zn1 0.250 0.250 0.750 1
Si1 0.250 0.250 0.250 1
```

**E**: -17.9 eV/f.u.
**V**: 23.47 Å³ per atom
**Density of states at the Fermi level**: 9.79 states/eV per cell
**Polymorph energy (0 for the lowest one)**: 88 meV per atom
**Size of the total moment**: 0.0 μB/cell
**Energy relative to the elements, uncorrected**: -0.44 eV/atom